Here is Sc2RuPb after structural relaxation from the Alexandria database. Energies are from PBE-GGA.

## Properties
- Calculated total energy: -6.72 eV/atom
- ΔH_f (0 K): -306 meV per atom

Cell and atoms, written as CIF:
```
data_Sc2RuPb
_chemical_formula_sum 'Sc4 Ru2 Pb2'
_symmetry_space_group_name_H-M 'I m m 2'
_symmetry_Int_Tables_number 44
_cell_length_a 3.297
_cell_length_b 4.662
_cell_length_c 10.994
_cell_angle_alpha 90.00
_cell_angle_beta 90.00
_cell_angle_gamma 90.00
loop_
_symmetry_equiv_pos_as_xyz
'x,y,z'
'-x,-y,z'
'-x,y,z'
'x,-y,z'
'x+1/2,y+1/2,z+1/2'
'-x+1/2,-y+1/2,z+1/2'
'-x+1/2,y+1/2,z+1/2'
'x+1/2,-y+1/2,z+1/2'
loop_
_atom_site_label
_atom_site_type_symbol
_atom_site_fract_x
_atom_site_fract_y
_atom_site_fract_z
_atom_site_occupancy
Sc1 Sc 0.000 0.000 0.000 1
Sc2 Sc 0.000 0.500 0.205 1
Ru1 Ru 0.000 0.000 0.510 1
Pb1 Pb 0.000 0.500 0.795 1
```